Fe3GeMo2, optimized geometry, DFT GGA-PBE; energy of formation from the pure elements = -90 meV per atom
1.0
4.2232 -0.1265 -2.2193
-2.6850 3.9404 -0.2025
-0.1603 0.1364 4.8155
Fe Mo Ge
3 2 1
Cartesian
0.6890 1.9752 1.1968
2.0315 0.0050 1.2981
-0.0801 0.0682 2.4077
2.1519 1.4056 -1.1222
-0.7740 2.5447 3.5158
0.0000 0.0000 0.0000

FeGeMo2, optimized geometry, DFT GGA-PBE; energy of formation from the pure elements = 508 meV per atom
1.0
6.7692 0.0000 0.0000
0.0000 6.7692 0.0000
3.3846 3.3846 2.6349
Mo Ge Fe
4 2 2
Cartesian
5.0769 5.2627 1.9762
4.8911 1.6923 0.6587
8.4615 8.2758 1.9762
1.8781 5.0769 0.6587
0.0000 0.0000 0.0000
6.7692 3.3846 1.3175
3.3846 3.3846 0.0000
3.3846 6.7692 1.3175

FeGe3Mo, optimized geometry, DFT GGA-PBE; relative energy among the computed polymorphs = 0.000 eV per atom; energy of formation from the pure elements = 799 meV per atom
1.0
4.4859 0.0000 0.0000
0.0000 4.4859 0.0000
0.0000 0.0000 4.4859
Ge Fe Mo
3 1 1
Cartesian
0.0000 0.0000 2.2429
0.0000 2.2429 0.0000
2.2429 0.0000 0.0000
0.0000 0.0000 0.0000
2.2429 2.2429 2.2429

Fe2GeMo, optimized geometry, DFT GGA-PBE; energy of formation from the pure elements = 34 meV per atom
1.0
3.8987 0.0000 0.0000
0.0000 3.7241 0.0000
0.0000 0.0000 3.7241
Fe Mo Ge
2 1 1
Cartesian
0.0000 0.0000 1.8620
0.0000 1.8620 0.0000
1.9494 0.0000 0.0000
1.9494 1.8620 1.8620

Fe2GeMo, optimized geometry, DFT GGA-PBE; energy of formation from the pure elements = 34 meV per atom
1.0
-1.2656 1.1837 2.2193
0.3547 -2.3756 1.4694
5.5539 2.0966 2.0490
Ge Mo Fe
1 1 2
Cartesian
-0.4555 -0.5959 1.8444
2.3215 0.4523 2.8688
4.3039 1.6247 1.5878
1.2501 0.4719 0.4612

Fe2Ge2Mo, optimized geometry, DFT GGA-PBE; energy of formation from the pure elements = 60 meV per atom
1.0
-6.2667 -2.8083 1.4721
0.8961 -4.6964 -5.1445
1.1929 -1.7267 1.7841
Ge Fe Mo
4 4 2
Cartesian
-0.6032 -2.0711 -1.6011
-4.7673 -5.4337 -2.0713
-3.9216 -2.5057 0.1971
-1.4490 -4.9991 -3.8695
-2.7156 -6.6806 -2.5236
0.2387 -4.3377 -2.2313
-4.4163 -4.8938 0.3430
-1.4621 -2.5508 0.6353
0.0000 0.0000 0.0000
-2.6853 -3.7524 -1.8362

Fe2GeMo2, optimized geometry, DFT GGA-PBE; energy of formation from the pure elements = 210 meV per atom
1.0
7.0317 0.0000 0.0000
0.0000 7.0317 0.0000
0.0000 0.0000 2.8019
Fe Mo Ge
4 4 2
Cartesian
2.6231 6.1389 0.0000
6.1389 4.4087 0.0000
4.4087 0.8928 0.0000
0.8928 2.6231 0.0000
5.8720 2.3561 1.4009
4.6756 5.8720 1.4009
1.1597 4.6756 1.4009
2.3561 1.1597 1.4009
0.0000 0.0000 0.0000
3.5159 3.5159 0.0000

Fe2GeMoN, optimized geometry, DFT GGA-PBE; uncorrected formation energy = -104 meV/atom
1.0
3.8223 0.0000 0.0000
0.0000 3.8223 0.0000
0.0000 0.0000 4.1078
Ge Mo Fe N
1 1 2 1
Cartesian
1.9111 1.9111 2.0539
0.0000 0.0000 2.0539
0.0000 1.9111 0.0000
1.9111 0.0000 0.0000
0.0000 0.0000 0.0000

FeGeMoOs2, optimized geometry, DFT GGA-PBE; energy of formation from the pure elements = 1458 meV per atom
1.0
-0.7520 1.4287 4.1337
3.9711 -1.1970 1.1361
1.5281 4.0159 -1.1100
Os Fe Mo Ge
2 1 1 1
Cartesian
-0.3760 0.7144 2.0669
0.7640 2.0079 -0.5550
0.0000 0.0000 0.0000
2.3736 2.1238 2.0799
1.9856 -0.5985 0.5681

FeGe2MoOs, optimized geometry, DFT GGA-PBE; energy of formation from the pure elements = 1110 meV per atom
1.0
-3.7695 0.7644 -1.8965
0.0839 -4.1145 -1.8252
-2.0432 -1.5636 3.4308
Ge Mo Fe Os
2 1 1 1
Cartesian
-1.0216 -0.7818 1.7154
-1.8847 0.3822 -0.9483
0.0420 -2.0573 -0.9126
0.0000 0.0000 0.0000
-2.8644 -2.4569 -0.1455

PaFeGeMo, optimized geometry, DFT GGA-PBE; energy of formation from the pure elements = -25 meV per atom
1.0
-2.1305 0.3501 -3.9978
-4.2944 -1.4238 -0.4181
-3.3532 3.0197 -0.5305
Pa Ge Fe Mo
1 1 1 1
Cartesian
-7.3335 1.4595 -3.7097
-2.4445 0.4865 -1.2366
-4.8890 0.9730 -2.4732
0.0000 0.0000 0.0000

Fe2ReGeMo, optimized geometry, DFT GGA-PBE; energy of formation from the pure elements = 1454 meV per atom
1.0
-2.6053 -3.1087 -0.9042
3.3222 -2.1129 -2.3082
1.1536 -1.9758 3.4691
Fe Mo Ge Re
2 1 1 1
Cartesian
-1.3027 -1.5543 -0.4521
0.5768 -0.9879 1.7345
1.6611 -1.0564 -1.1541
0.0000 0.0000 0.0000
0.9352 -3.5987 0.1283

Computed values of DFT total energy (unit: eV per atom) for the preceding records, in sequence: -8.70; -8.18; -5.83; -8.06; -8.06; -7.34; -8.43; -8.24; -7.82; -6.84; -8.38; -7.51.